Density functional theory data (GGA+U) for SrFeO3 after structural relaxation.

Summary:
As for the total energy: -5.509 eV per atom.

The structure in CIF format:
```
data_SrFeO3
_cell_length_a 3.833
_cell_length_b 3.833
_cell_length_c 5.969
_cell_angle_alpha 90.00
_cell_angle_beta 90.00
_cell_angle_gamma 90.00
_space_group_name_H-M_alt 'P 1'
_space_group_IT_number 1
loop_
_space_group_symop_operation_xyz
'x,y,z'
loop_
_atom_site_label
_atom_site_fract_x
_atom_site_fract_y
_atom_site_fract_z
Sr1 0.000 0.000 0.168
O1 0.000 0.000 0.783
O2 0.500 0.000 0.404
O3 0.000 0.500 0.404
Fe1 0.500 0.500 0.506
```